Material: TmGaPdRh
Method: DFT, PBE
State: optimized geometry

Calculated values
E	-46.8	eV for the cell shown
total moment	0.00	μB per formula unit
D(E_F)	1.43	states/eV/f.u.

Lattice parameters (Å, degrees): 4.3154 4.3154 7.2923 90.00 90.00 90.00
Space group I-4m2 (No. 119)
Unique sites:
Tm: 0.0000 0.0000 0.0000 (multiplicity 2)
Ga: 0.0000 0.0000 0.5000 (multiplicity 2)
Pd: 0.0000 0.5000 0.2500 (multiplicity 2)
Rh: 0.0000 0.5000 0.7500 (multiplicity 2)